Entry from Alexandria via LeMat-Bulk: a relaxed LiCr2Fe crystal (GGA-PBE).

a b c (Å): 2.3664 2.3664 8.6351
angles (deg): 90.00 90.00 90.00
Element x y z (fractional)
1 Li 0.0000 0.0000 0.0000
2 Cr 0.0000 0.0000 0.5133
3 Cr 0.5000 0.5000 0.2696
4 Fe 0.5000 0.5000 0.7477

## Properties
DOS(E_F) = 2.68 states/eV per cell
DFT formation energy = 1.33 eV per formula unit
Total moment = 2.163 μB per cell

Entry from Alexandria via LeMat-Bulk: a relaxed LiCr2Fe crystal (GGA-PBE).

a b c (Å): 2.4388 2.4388 8.5326
angles (deg): 90.00 90.00 109.04
Element x y z (fractional)
1 Li 0.0000 0.0000 0.0000
2 Cr 0.0000 0.0000 0.5076
3 Cr 0.5000 0.5000 0.2738
4 Fe 0.5000 0.5000 0.7406

## Properties
DOS(E_F) = 4.52 states/eV per cell
DFT formation energy = 0.91 eV per formula unit
Total moment = 1.815 μB per cell

Entry from Alexandria via LeMat-Bulk: a relaxed Li2CrFe crystal (GGA-PBE).

a b c (Å): 2.3452 2.3452 8.9544
angles (deg): 90.00 90.00 90.00
Element x y z (fractional)
1 Li 0.0000 0.0000 0.2423
2 Li 0.0000 0.0000 0.7577
3 Cr 0.5000 0.5000 0.5000
4 Fe 0.5000 0.5000 0.0000

## Properties
DOS(E_F) = 4.40 states/eV per cell
DFT formation energy = 1.75 eV per formula unit
Total moment = 1.578 μB per cell

Entry from Alexandria via LeMat-Bulk: a relaxed Li2CrFe crystal (GGA-PBE).

a b c (Å): 5.2210 5.2210 2.3992
angles (deg): 100.41 100.41 125.00
Element x y z (fractional)
1 Li 0.0000 0.5000 0.0000
2 Li 0.5000 0.0000 0.0000
3 Cr 0.0000 0.0000 0.5000
4 Fe 0.5000 0.5000 0.5000

## Properties
DOS(E_F) = 2.81 states/eV per cell
DFT formation energy = 1.57 eV per formula unit
Total moment = 1.030 μB per cell

Entry from Alexandria via LeMat-Bulk: a relaxed Li2CrFe crystal (GGA-PBE).

a b c (Å): 3.3329 3.3329 4.5124
angles (deg): 90.00 90.00 90.00
Element x y z (fractional)
1 Li 0.0000 0.5000 0.0000
2 Li 0.5000 0.0000 0.0000
3 Cr 0.0000 0.0000 0.5000
4 Fe 0.5000 0.5000 0.5000

## Properties
DOS(E_F) = 3.17 states/eV per cell
DFT formation energy = 1.65 eV per formula unit
Total moment = 0.532 μB per cell

Entry from Alexandria via LeMat-Bulk: a relaxed LiCr2Fe crystal (GGA-PBE).

a b c (Å): 4.6659 4.6659 4.6659
angles (deg): 137.89 137.89 61.08
Element x y z (fractional)
1 Li 0.0000 0.0000 0.0000
2 Cr 0.2500 0.7500 0.5000
3 Cr 0.7500 0.2500 0.5000
4 Fe 0.5000 0.5000 0.0000

## Properties
DOS(E_F) = 3.55 states/eV per cell
DFT formation energy = 1.72 eV per formula unit
Total moment = 1.825 μB per cell

Entry from Alexandria via LeMat-Bulk: a relaxed LiCr2Fe crystal (GGA-PBE).

a b c (Å): 2.3237 3.9940 4.9729
angles (deg): 90.00 90.00 90.00
Element x y z (fractional)
1 Li 0.0000 0.0000 0.0000
2 Cr 0.0000 0.0000 0.5045
3 Cr 0.5000 0.5000 0.2553
4 Fe 0.5000 0.5000 0.7684

## Properties
DOS(E_F) = 3.29 states/eV per cell
DFT formation energy = 1.56 eV per formula unit
Total moment = 1.830 μB per cell

Entry from Alexandria via LeMat-Bulk: a relaxed Li4CrFe crystal (GGA-PBE).

a b c (Å): 4.9849 4.9849 4.9849
angles (deg): 60.00 60.00 60.00
Element x y z (fractional)
1 Li 0.1255 0.1255 0.1255
2 Li 0.1255 0.1255 0.6235
3 Li 0.1255 0.6235 0.1255
4 Li 0.6235 0.1255 0.1255
5 Cr 0.7500 0.7500 0.7500
6 Fe 0.5000 0.5000 0.5000

## Properties
DOS(E_F) = 5.24 states/eV per cell
DFT formation energy = 3.01 eV per formula unit
Total moment = 1.403 μB per cell